Material: CaHo7In4
Method: DFT, GGA-PBE
State: optimized geometry

Properties
Density, g/cm³: 7.7
Total DFT energy (no corrections), eV/atom: -3.8199

Cell: 7.570 7.570 10.947 Å, 121.92 121.92 43.86°
Atoms (fractional coordinates):
1 Ca 0.000 0.000 0.000
2 Ho 0.058 0.058 0.383
3 Ho 0.218 0.218 0.875
4 Ho 0.313 0.313 0.381
5 Ho 0.500 0.500 0.000
6 Ho 0.687 0.687 0.619
7 Ho 0.782 0.782 0.125
8 Ho 0.942 0.942 0.617
9 In 0.314 0.314 0.670
10 In 0.432 0.432 0.224
11 In 0.568 0.568 0.776
12 In 0.686 0.686 0.330

***

Material: Ca3HoIn12
Method: DFT, GGA-PBE
State: optimized geometry

Properties
Density, g/cm³: 6.7
Total DFT energy (no corrections), eV/atom: -3.0518

Cell: 4.720 4.720 18.624 Å, 90.00 90.00 90.00°
Atoms (fractional coordinates):
1 Ca 0.000 0.000 0.000
2 Ca 0.000 0.000 0.252
3 Ca 0.000 0.000 0.748
4 Ho 0.000 0.000 0.500
5 In 0.000 0.500 0.126
6 In 0.000 0.500 0.377
7 In 0.000 0.500 0.623
8 In 0.000 0.500 0.874
9 In 0.500 0.000 0.126
10 In 0.500 0.000 0.377
11 In 0.500 0.000 0.623
12 In 0.500 0.000 0.874
13 In 0.500 0.500 0.000
14 In 0.500 0.500 0.251
15 In 0.500 0.500 0.500
16 In 0.500 0.500 0.749

***

Material: CaHo3In4
Method: DFT, GGA-PBE
State: optimized geometry

Properties
Density, g/cm³: 7.7
Total DFT energy (no corrections), eV/atom: -3.7848

Cell: 5.346 5.346 7.479 Å, 90.00 90.00 90.00°
Atoms (fractional coordinates):
1 Ca 0.000 0.000 0.000
2 Ho 0.000 0.000 0.500
3 Ho 0.500 0.500 0.000
4 Ho 0.500 0.500 0.500
5 In 0.000 0.500 0.253
6 In 0.000 0.500 0.747
7 In 0.500 0.000 0.253
8 In 0.500 0.000 0.747

***

Material: CaHo6In6
Method: DFT, GGA-PBE
State: optimized geometry

Properties
Density, g/cm³: 7.8
Total DFT energy (no corrections), eV/atom: -3.8478

Cell: 6.316 6.316 10.616 Å, 90.00 90.00 120.00°
Atoms (fractional coordinates):
1 Ca 0.000 0.000 0.000
2 Ho 0.000 0.000 0.338
3 Ho 0.000 0.000 0.662
4 Ho 0.333 0.667 0.000
5 Ho 0.333 0.667 0.500
6 Ho 0.667 0.333 0.000
7 Ho 0.667 0.333 0.500
8 In 0.000 0.500 0.246
9 In 0.000 0.500 0.754
10 In 0.500 0.000 0.246
11 In 0.500 0.000 0.754
12 In 0.500 0.500 0.246
13 In 0.500 0.500 0.754

***

Material: Ca2Ho2In3
Method: DFT, GGA-PBE
State: optimized geometry

Properties
Density, g/cm³: 6.4
Total DFT energy (no corrections), eV/atom: -3.3225

Cell: 4.868 23.931 3.373 Å, 90.00 90.00 90.00°
Atoms (fractional coordinates):
1 Ca 0.000 0.071 0.000
2 Ca 0.000 0.929 0.000
3 Ca 0.500 0.429 0.000
4 Ca 0.500 0.571 0.000
5 Ho 0.000 0.207 0.000
6 Ho 0.000 0.793 0.000
7 Ho 0.500 0.293 0.000
8 Ho 0.500 0.707 0.000
9 In 0.000 0.347 0.500
10 In 0.000 0.500 0.500
11 In 0.000 0.653 0.500
12 In 0.500 0.000 0.500
13 In 0.500 0.153 0.500
14 In 0.500 0.847 0.500

***

Material: Ca2HoIn2
Method: DFT, GGA-PBE
State: optimized geometry

Properties
Density, g/cm³: 5.4
Total DFT energy (no corrections), eV/atom: -3.1908

Cell: 6.753 5.343 16.140 Å, 90.00 90.00 90.00°
Atoms (fractional coordinates):
1 Ca 0.037 0.250 0.146
2 Ca 0.176 0.250 0.731
3 Ca 0.324 0.750 0.231
4 Ca 0.463 0.750 0.646
5 Ca 0.537 0.250 0.354
6 Ca 0.676 0.250 0.769
7 Ca 0.824 0.750 0.269
8 Ca 0.963 0.750 0.854
9 Ho 0.151 0.750 0.454
10 Ho 0.349 0.250 0.954
11 Ho 0.651 0.750 0.046
12 Ho 0.849 0.250 0.546
13 In 0.055 0.250 0.350
14 In 0.141 0.750 0.042
15 In 0.359 0.250 0.542
16 In 0.445 0.750 0.850
17 In 0.555 0.250 0.150
18 In 0.641 0.750 0.458
19 In 0.859 0.250 0.958
20 In 0.945 0.750 0.650

***

Material: Ca5HoIn3
Method: DFT, GGA-PBE
State: optimized geometry

Properties
Density, g/cm³: 4.2
Total DFT energy (no corrections), eV/atom: -2.8687

Cell: 9.529 9.529 7.069 Å, 90.00 90.00 120.00°
Atoms (fractional coordinates):
1 Ca 0.000 0.339 0.250
2 Ca 0.000 0.661 0.750
3 Ca 0.333 0.667 0.000
4 Ca 0.333 0.667 0.500
5 Ca 0.339 0.000 0.250
6 Ca 0.339 0.339 0.750
7 Ca 0.661 0.000 0.750
8 Ca 0.661 0.661 0.250
9 Ca 0.667 0.333 0.000
10 Ca 0.667 0.333 0.500
11 Ho 0.000 0.000 0.000
12 Ho 0.000 0.000 0.500
13 In 0.000 0.318 0.750
14 In 0.000 0.682 0.250
15 In 0.318 0.000 0.750
16 In 0.318 0.318 0.250
17 In 0.682 0.000 0.250
18 In 0.682 0.682 0.750

***

Material: Ca2HoIn
Method: DFT, GGA-PBE
State: optimized geometry

Properties
Density, g/cm³: 4.7
Total DFT energy (no corrections), eV/atom: -2.9385
Offset from the most stable computed form, eV/f.u.: 0.41

Cell: 4.173 4.173 7.312 Å, 90.00 90.00 90.00°
Atoms (fractional coordinates):
1 Ca 0.000 0.000 0.234
2 Ca 0.000 0.000 0.766
3 Ho 0.500 0.500 0.500
4 In 0.500 0.500 0.000

***

Material: CaLaHoIn
Method: DFT, GGA-PBE
State: optimized geometry

Properties
Density, g/cm³: 6.1
Total DFT energy (no corrections), eV/atom: -3.7285

Cell: 7.920 7.920 7.920 Å, 90.00 90.00 90.00°
Atoms (fractional coordinates):
1 Ca 0.000 0.000 0.000
2 Ca 0.000 0.500 0.500
3 Ca 0.500 0.000 0.500
4 Ca 0.500 0.500 0.000
5 La 0.250 0.250 0.750
6 La 0.250 0.750 0.250
7 La 0.750 0.250 0.250
8 La 0.750 0.750 0.750
9 Ho 0.250 0.250 0.250
10 Ho 0.250 0.750 0.750
11 Ho 0.750 0.250 0.750
12 Ho 0.750 0.750 0.250
13 In 0.000 0.000 0.500
14 In 0.000 0.500 0.000
15 In 0.500 0.000 0.000
16 In 0.500 0.500 0.500

***

Material: CaLaHo2In4
Method: DFT, GGA-PBE
State: optimized geometry

Properties
Density, g/cm³: 7.2
Total DFT energy (no corrections), eV/atom: -3.8410

Cell: 9.435 9.435 9.435 Å, 33.24 33.24 33.24°
Atoms (fractional coordinates):
1 Ca 0.000 0.000 0.000
2 La 0.500 0.500 0.500
3 Ho 0.252 0.252 0.252
4 Ho 0.748 0.748 0.748
5 In 0.124 0.124 0.124
6 In 0.374 0.374 0.374
7 In 0.626 0.626 0.626
8 In 0.876 0.876 0.876

***

Material: Li2Ca2HoIn2
Method: DFT, GGA-PBE
State: optimized geometry

Properties
Density, g/cm³: 4.2
Total DFT energy (no corrections), eV/atom: -2.8113

Cell: 9.544 9.544 9.544 Å, 30.07 30.07 30.07°
Atoms (fractional coordinates):
1 Li 0.112 0.112 0.112
2 Li 0.888 0.888 0.888
3 Ca 0.376 0.376 0.376
4 Ca 0.624 0.624 0.624
5 Ho 0.500 0.500 0.500
6 In 0.230 0.230 0.230
7 In 0.770 0.770 0.770

***

Material: LiCaHo2In4
Method: DFT, GGA-PBE
State: optimized geometry

Properties
Density, g/cm³: 6.8
Total DFT energy (no corrections), eV/atom: -3.3929

Cell: 9.153 9.153 9.153 Å, 33.27 33.27 33.27°
Atoms (fractional coordinates):
1 Li 0.000 0.000 0.000
2 Ca 0.500 0.500 0.500
3 Ho 0.252 0.252 0.252
4 Ho 0.748 0.748 0.748
5 In 0.121 0.121 0.121
6 In 0.373 0.373 0.373
7 In 0.627 0.627 0.627
8 In 0.879 0.879 0.879

***

Question: The highest density belongs to which entry?
Answer: CaHo6In6

***

Question: Look up the density of the second one.
Answer: 6.7 g/cm³

***

Question: Which value of total DFT energy (no corrections) does entry 4 give?
Answer: -3.8478 eV/atom